{"formula": "Th4Al3ZnCu12", "functional": "PBE", "state": "relaxed", "cell": [[-6.772, 1.646, 3.684], [0.667, -7.802, -0.911], [6.045, 2.670, 4.298]], "species": ["Cu", "Cu", "Cu", "Cu", "Cu", "Cu", "Cu", "Cu", "Cu", "Cu", "Cu", "Cu", "Th", "Th", "Th", "Th", "Al", "Al", "Al", "Zn"], "frac_coords": [[0.250, 0.250, 0.000], [0.250, 0.000, 0.250], [0.500, 0.250, 0.750], [0.000, 0.250, 0.250], [0.250, 0.750, 0.500], [0.250, 0.500, 0.750], [0.750, 0.000, 0.750], [0.750, 0.250, 0.500], [0.000, 0.750, 0.750], [0.750, 0.500, 0.250], [0.750, 0.750, 0.000], [0.500, 0.750, 0.250], [0.000, 0.500, 0.000], [0.500, 0.500, 0.500], [0.500, 0.000, 0.000], [0.000, 0.000, 0.500], [0.000, 0.500, 0.500], [0.500, 0.000, 0.500], [0.500, 0.500, 0.000], [0.000, 0.000, 0.000]], "formation_energy_ev_per_atom": 0.132, "energy_ha_per_atom": -0.16297}